No. 1
Cs3AuF2: optimized geometry, GGA-PBE.

Summary:
The calculation puts the distance to the lowest polymorph of the same formula at 27.2 kJ/mol of formula units. For the uncorrected formation energy, the calculation gives -1794 meV per atom. The space group is Imma. The value obtained for the total magnetization is 0.000 μB per formula unit. As for the density of states at the Fermi level: 0.00 states/eV/cell. Its total DFT energy (no corrections) is -40.69 eV/cell.

Unit cell a=8.2144 b=8.7828 c=8.7828 alpha=53.28 beta=62.12 gamma=62.12
With the nearest neighbours (Å) after each atom.
Sites, in units of the cell vectors:
Cs1 0.5000 0.7590 0.2410  4 F 2.95-3.13
Cs2 0.5000 0.2410 0.7590  4 F 2.95-3.13
Cs3 0.5000 0.5000 0.0000  4 F 3.03
Cs4 0.0000 0.2590 0.7410  4 F 2.95-3.13
Cs5 0.5000 0.0000 0.5000  4 F 3.03
Cs6 0.0000 0.7410 0.2590  4 F 2.95-3.13
F1 0.6463 0.5790 0.5789  6 Cs 2.95-3.13
F2 0.3042 0.9210 0.9211  6 Cs 2.95-3.13
F3 0.3537 0.4210 0.4211  6 Cs 2.95-3.13
F4 0.6958 0.0790 0.0789  6 Cs 2.95-3.13
Au1 0.8903 0.7500 0.7500  6 Cs 3.76-4.02, 2 F 4.11
Au2 0.1097 0.2500 0.2500  6 Cs 3.76-4.02, 2 F 4.11

No. 2
Sm6DySc: optimized geometry, GGA-PBE.

Summary:
The calculation puts the distance to the lowest polymorph of the same formula at 0.0 kJ/mol of formula units. The space group is P4/mmm. The value obtained for the total magnetization is 0.000 μB per formula unit. The value obtained for the formation energy is 0.030 eV/atom. As for the density of states at the Fermi level: 12.24 states/eV/cell. Its total DFT energy (no corrections) is -39.01 eV/cell.

Unit cell a=5.0524 b=5.0524 c=10.0889 alpha=90.00 beta=90.00 gamma=90.00
With the nearest neighbours (Å) after each atom.
Sites, in units of the cell vectors:
Sc1 0.0000 0.0000 0.5000  12 Sm 3.54-3.57
Sm1 0.5000 0.0000 0.2549  8 Sm 3.54-3.60, 2 Sc 3.54, 2 Dy 3.60
Sm2 0.5000 0.5000 0.0000  4 Dy 3.57, 8 Sm 3.60
Sm3 0.5000 0.0000 0.7451  2 Sc 3.54, 8 Sm 3.54-3.60, 2 Dy 3.60
Sm4 0.0000 0.5000 0.2549  2 Sc 3.54, 8 Sm 3.54-3.60, 2 Dy 3.60
Sm5 0.5000 0.5000 0.5000  8 Sm 3.54, 4 Sc 3.57
Sm6 0.0000 0.5000 0.7451  2 Sc 3.54, 8 Sm 3.54-3.60, 2 Dy 3.60
Dy1 0.0000 0.0000 0.0000  12 Sm 3.57-3.60

No. 3
Tb2CeErTh: optimized geometry, GGA-PBE.

Summary:
The space group is P2/c. The value obtained for the total magnetization is 0.685 μB per formula unit. The value obtained for the formation energy is 0.325 eV/atom. As for the density of states at the Fermi level: 19.54 states/eV/cell. Its total DFT energy (no corrections) is -51.10 eV/cell.

Unit cell a=6.1533 b=8.6290 c=6.1967 alpha=90.40 beta=90.00 gamma=90.00
With the nearest neighbours (Å) after each atom.
Sites, in units of the cell vectors:
Tb1 0.2893 0.3133 0.2481  1 Th 3.14, 1 Tb 3.22, 1 Er 3.39
Tb2 0.7107 0.6867 0.7519  1 Th 3.14, 1 Tb 3.22, 1 Er 3.39
Tb3 0.2893 0.6867 0.2519  1 Th 3.14, 1 Tb 3.22, 1 Er 3.39
Tb4 0.7107 0.3133 0.7481  1 Th 3.14, 1 Tb 3.22, 1 Er 3.39
Ce1 0.0000 0.0000 0.5000  2 Ce 3.10, 2 Th 3.18
Ce2 0.0000 0.0000 0.0000  2 Ce 3.10, 2 Th 3.18
Er1 0.1948 0.5000 0.7500  8 Tb 3.39-3.56
Er2 0.8052 0.5000 0.2500  8 Tb 3.39-3.56
Th1 0.4513 0.0000 0.7500  2 Tb 3.14, 2 Th 3.16, 2 Ce 3.18
Th2 0.5487 0.0000 0.2500  2 Tb 3.14, 2 Th 3.16, 2 Ce 3.18